(1)
# Sr2MgIn6Au

A relaxed structure of Sr2MgIn6Au (PBE, Alexandria).

Values from the calculation:
Formation enthalpy at 0 K in kJ/mol of formula units: -241
Space group: No. 166

The structure in extended XYZ format:
```
20
Lattice="3.651 2.108 12.809 -3.651 2.108 12.809 0.000 -4.216 12.809" Properties=species:S:1:pos:R:3 pbc="T T T"
Sr 0.000 0.000 4.050
Sr 0.000 0.000 10.760
Sr 0.000 0.000 27.667
Sr 0.000 0.000 34.377
Mg 0.000 0.000 16.401
Mg 0.000 0.000 22.026
In -2.179 -1.258 18.005
In 0.000 -1.774 14.042
In -1.536 0.887 14.042
In 0.000 -2.516 20.422
In -2.179 1.258 20.422
In -1.536 -0.887 24.385
In 1.536 0.887 14.042
In 2.179 -1.258 18.005
In 0.000 2.516 18.005
In 1.536 -0.887 24.385
In 0.000 1.774 24.385
In 2.179 1.258 20.422
Au 0.000 0.000 0.000
Au 0.000 0.000 19.214
```

(2)
# As2O5

A relaxed structure of As2O5 (PBE, Alexandria).

Values from the calculation:
Space group: No. 92
Energy relative to the elements, uncorrected in eV/atom: -1.060

The structure in extended XYZ format:
```
28
Lattice="8.762 0.000 0.000 0.000 8.762 0.000 0.000 0.000 4.708" Properties=species:S:1:pos:R:3 pbc="T T T"
As 0.853 0.853 0.000
As 1.892 6.870 3.531
As 2.489 2.489 2.354
As 3.528 5.234 1.177
As 5.234 3.528 3.531
As 6.273 6.273 0.000
As 6.870 1.892 1.177
As 7.909 7.909 2.354
O 0.207 6.608 3.179
O 0.499 8.262 1.177
O 1.351 2.327 3.627
O 2.054 5.732 0.096
O 2.154 8.555 3.883
O 2.227 4.174 2.002
O 2.327 1.351 1.081
O 3.030 6.708 2.258
O 3.881 3.881 0.000
O 4.174 2.227 2.706
O 4.588 6.535 0.352
O 4.880 4.880 2.354
O 5.732 2.054 4.612
O 6.435 7.410 3.435
O 6.535 4.588 4.356
O 6.608 0.207 1.529
O 6.708 3.030 2.450
O 7.410 6.435 1.273
O 8.262 0.499 3.531
O 8.555 2.154 0.825
```

(3)
# NbGe2IrI

A relaxed structure of NbGe2IrI (PBE, Alexandria).

Values from the calculation:
Space group: No. 123
Energy relative to the elements, uncorrected in eV/atom: 0.884

The structure in extended XYZ format:
```
5
Lattice="5.120 0.000 0.000 0.000 5.120 0.000 0.000 0.000 4.894" Properties=species:S:1:pos:R:3 pbc="T T T"
Nb 0.000 0.000 0.000
Ge 0.000 2.560 0.000
Ge 2.560 0.000 0.000
Ir 0.000 0.000 2.447
I 2.560 2.560 2.447
```

(4)
# NpFe2Ni7

A relaxed structure of NpFe2Ni7 (PBE, Alexandria).

Values from the calculation:
Formation enthalpy at 0 K in kJ/mol of formula units: 497
Space group: No. 65

The structure in extended XYZ format:
```
10
Lattice="3.152 -6.064 0.000 3.152 6.064 0.000 0.000 0.000 4.025" Properties=species:S:1:pos:R:3 pbc="T T T"
Np 0.000 0.000 0.000
Fe 3.152 2.457 2.013
Fe 3.152 -2.457 2.013
Ni 1.171 1.335 2.013
Ni 3.152 3.595 0.000
Ni 1.171 -1.335 2.013
Ni 3.152 0.000 2.013
Ni 5.132 1.335 2.013
Ni 3.152 -3.595 0.000
Ni 5.132 -1.335 2.013
```

(5)
# CeNdRh

A relaxed structure of CeNdRh (PBE, Alexandria).

Values from the calculation:
Formation enthalpy at 0 K in kJ/mol of formula units: -90
Space group: No. 156

The structure in extended XYZ format:
```
3
Lattice="4.592 0.000 0.000 -2.296 3.977 0.000 0.000 0.000 4.048" Properties=species:S:1:pos:R:3 pbc="T T T"
Ce 0.000 0.000 0.000
Nd 0.000 2.651 2.403
Rh 2.296 1.326 1.044
```

Calculated values (eV per atom) of total DFT energy (no corrections) for the records, taken in order: -2.72, -5.93, -5.06, -6.52, -6.33.
Calculated values (μB/atom) of magnetization for the records, taken in order: 0.000, 0.000, 0.000, 0.499, 0.122.